No. 1
DFT (PBE) results for an optimized crystal structure of SmEr2In9.

Geometry as CIF:
```
data_SmEr2In9
_chemical_formula_sum 'Sm1 Er2 In9'
_space_group_name_H-M_alt 'P 1'
_space_group_IT_number 1
_cell_length_a 4.646
_cell_length_b 4.646
_cell_length_c 13.911
_cell_angle_alpha 90.00
_cell_angle_beta 90.00
_cell_angle_gamma 90.00
loop_
_space_group_symop_operation_xyz
'x,y,z'
loop_
_atom_site_label
_atom_site_type_symbol
_atom_site_fract_x
_atom_site_fract_y
_atom_site_fract_z
In1 In 0.500 0.000 0.170
In2 In 0.000 0.500 0.500
In3 In 0.500 0.500 0.666
Er1 Er 0.000 0.000 0.334
Sm1 Sm 0.000 0.000 0.000
Er2 Er 0.000 0.000 0.666
In4 In 0.000 0.500 0.170
In5 In 0.500 0.500 0.000
In6 In 0.500 0.500 0.334
In7 In 0.500 0.000 0.830
In8 In 0.500 0.000 0.500
In9 In 0.000 0.500 0.830
```

Summary:
- calculated formation energy (eV per atom) = -0.409
- volume (Å³ per atom) = 25.024
- DOS at the Fermi energy (states/eV/f.u.) = 4.536

=====

No. 2
DFT (PBE) results for an optimized crystal structure of SrPmBi2.

Geometry as CIF:
```
data_SrPmBi2
_chemical_formula_sum 'Sr1 Pm1 Bi2'
_space_group_name_H-M_alt 'P 1'
_space_group_IT_number 1
_cell_length_a 4.241
_cell_length_b 4.241
_cell_length_c 7.371
_cell_angle_alpha 90.00
_cell_angle_beta 90.00
_cell_angle_gamma 90.00
loop_
_space_group_symop_operation_xyz
'x,y,z'
loop_
_atom_site_label
_atom_site_type_symbol
_atom_site_fract_x
_atom_site_fract_y
_atom_site_fract_z
Bi1 Bi 0.000 0.000 0.769
Bi2 Bi 0.000 0.000 0.231
Pm1 Pm 0.500 0.500 0.000
Sr1 Sr 0.500 0.500 0.500
```

Summary:
- calculated formation energy (eV per atom) = -0.728
- volume (Å³ per atom) = 33.152
- ΔE to the lowest computed polymorph (meV/atom) = 69
- DOS at the Fermi energy (states/eV/f.u.) = 2.683